# 1
## NaAlPd (PBE-GGA)

Data for a relaxed structure of NaAlPd.

Cell lengths 6.2856, 6.2856, 6.2856 Å; angles 90.00, 90.00, 90.00 degrees
Space group F-43m (No. 216)
Symmetry-distinct sites (fractional):
Na (0.0000, 0.0000, 0.0000) (multiplicity 4)
Al (0.2500, 0.2500, 0.7500) (multiplicity 4)
Pd (0.2500, 0.2500, 0.2500) (multiplicity 4)

Properties
total energy = -2.959 eV per atom

=====

# 2
## ScAlFeCu (PBE-GGA)

Data for a relaxed structure of ScAlFeCu.

Cell lengths 6.1370, 6.1370, 6.1370 Å; angles 90.00, 90.00, 90.00 degrees
Space group F-43m (No. 216)
Symmetry-distinct sites (fractional):
Sc (0.0000, 0.0000, 0.0000) (multiplicity 4)
Al (0.2500, 0.2500, 0.2500) (multiplicity 4)
Fe (0.2500, 0.2500, 0.7500) (multiplicity 4)
Cu (0.0000, 0.0000, 0.5000) (multiplicity 4)

Properties
energy above the most stable polymorph in this dataset = 1.09 eV per formula unit
magnetization = 7.5 Bohr magnetons per cell

=====

# 3
## NiSe2 (PBE-GGA)

Data for a relaxed structure of NiSe2.

Cell lengths 2.9480, 2.9480, 12.1550 Å; angles 90.00, 90.00, 90.00 degrees
Space group I4/mmm (No. 139)
Symmetry-distinct sites (fractional):
Ni (0.0000, 0.0000, 0.0000) (multiplicity 2)
Se (0.0000, 0.0000, 0.3667) (multiplicity 4)

Properties
total energy = -4.013 eV per atom
magnetization = 0.0 Bohr magnetons per cell

=====

# 4
## DyY2Tl3AgPd2 (PBE-GGA)

Data for a relaxed structure of DyY2Tl3AgPd2.

Cell lengths 3.7717, 13.7366, 7.9489 Å; angles 90.00, 90.00, 90.00 degrees
Space group Amm2 (No. 38)
Symmetry-distinct sites (fractional):
Dy (0.0000, 0.0000, 0.0000) (multiplicity 2)
Y (0.0000, 0.2027, 0.6094) (multiplicity 4)
Tl (0.5000, 0.0000, 0.6801) (multiplicity 2)
Tl (0.5000, 0.1373, 0.2697) (multiplicity 4)
Ag (0.0000, 0.0000, 0.4058) (multiplicity 2)
Pd (0.5000, 0.1658, 0.9073) (multiplicity 4)

Properties
total energy = -4.756 eV per atom
magnetization = 0.0 Bohr magnetons per cell

=====

# 5
## Sc3ZnNi8 (PBE-GGA)

Data for a relaxed structure of Sc3ZnNi8.

Cell lengths 4.8259, 4.8259, 23.7151 Å; angles 90.00, 90.00, 120.00 degrees
Space group R3m (No. 160, hexagonal axes)
Symmetry-distinct sites (fractional):
Sc (0.0000, 0.0000, 0.0000) (multiplicity 3)
Sc (0.0000, 0.0000, 0.1285) (multiplicity 3)
Sc (0.0000, 0.0000, 0.6166) (multiplicity 3)
Zn (0.0000, 0.0000, 0.4955) (multiplicity 3)
Ni (0.0000, 0.0000, 0.3112) (multiplicity 3)
Ni (0.0000, 0.0000, 0.8112) (multiplicity 3)
Ni (0.0009, 0.5004, 0.0611) (multiplicity 9)
Ni (0.0023, 0.5012, 0.5610) (multiplicity 9)

Properties
ΔH_f (0 K) = -475 meV per atom
magnetization = 0.0 Bohr magnetons per cell

=====

# 6
## MgZrCuAs (PBE-GGA)

Data for a relaxed structure of MgZrCuAs.

Cell lengths 6.6478, 6.6478, 6.6478 Å; angles 90.00, 90.00, 90.00 degrees
Space group F-43m (No. 216)
Symmetry-distinct sites (fractional):
Mg (0.0000, 0.0000, 0.0000) (multiplicity 4)
Zr (0.2500, 0.2500, 0.7500) (multiplicity 4)
Cu (0.0000, 0.0000, 0.5000) (multiplicity 4)
As (0.2500, 0.2500, 0.2500) (multiplicity 4)

Properties
energy above the most stable polymorph in this dataset = 0.61 eV per formula unit
magnetization = 0.0 Bohr magnetons per cell

=====

# 7
## NbCdSb (PBE-GGA)

Data for a relaxed structure of NbCdSb.

Cell lengths 6.6444, 6.6444, 6.6444 Å; angles 90.00, 90.00, 90.00 degrees
Space group F-43m (No. 216)
Symmetry-distinct sites (fractional):
Nb (0.0000, 0.0000, 0.0000) (multiplicity 4)
Cd (0.0000, 0.0000, 0.5000) (multiplicity 4)
Sb (0.2500, 0.2500, 0.7500) (multiplicity 4)

Properties
energy above the most stable polymorph in this dataset = 0.56 eV per formula unit
magnetization = 6.5 Bohr magnetons per cell

=====

# 8
## CdFe2Ge (PBE-GGA)

Data for a relaxed structure of CdFe2Ge.

Cell lengths 6.2134, 6.2134, 6.2134 Å; angles 90.00, 90.00, 90.00 degrees
Space group F-43m (No. 216)
Symmetry-distinct sites (fractional):
Cd (0.0000, 0.0000, 0.0000) (multiplicity 4)
Fe (0.0000, 0.0000, 0.5000) (multiplicity 4)
Fe (0.2500, 0.2500, 0.2500) (multiplicity 4)
Ge (0.2500, 0.2500, 0.7500) (multiplicity 4)

Properties
total energy = -5.145 eV per atom
magnetization = 19.7 Bohr magnetons per cell